The following is a DFT calculation (PBE) of a relaxed structure of CsGaP2O.

Output
The value obtained for the calculated density is 3.2 g/cm³. Its energy above the most stable polymorph in this dataset is 1.121 eV/atom. Its volume is 146.40 Å³/f.u. As for the total energy: -12.61 eV/cell. The value obtained for the formation energy (no corrections) is 1.41 eV per atom.

abc: 5.695 5.695 4.514
angles: 90.00 90.00 90.00
Site moments in Bohr magnetons follow the coordinates.
Sites, in units of the cell vectors:
1 P 0.500 0.000 0.000  0.43
2 P 0.000 0.500 0.000  0.43
3 Cs 0.000 0.000 0.000  0.01
4 Ga 0.500 0.500 0.500  0.04
5 O 0.000 0.000 0.500  0.24